(1)
# GaHSeBr2, single point on PBEsol structure, DFT SCAN
# **Total DFT energy (no corrections)**: -15.3936 eV/atom
data_GaHSeBr2
_symmetry_space_group_name_H-M 'P 4/m m m'
_symmetry_Int_Tables_number 123
_symmetry_space_group_name_Hall '-P 4 2'
_cell_length_a 5.163
_cell_length_b 5.163
_cell_length_c 4.871
_cell_angle_alpha 90.00
_cell_angle_beta 90.00
_cell_angle_gamma 90.00
loop_
_atom_site_label
_atom_site_type_symbol
_atom_site_fract_x
_atom_site_fract_y
_atom_site_fract_z
Ga1 Ga 0.000 0.000 0.000
H1 H 0.500 0.500 0.500
Se1 Se 0.000 0.000 0.500
Br1 Br 0.000 0.500 0.000

(2)
# TlGaH2Br, single point on PBEsol structure, DFT SCAN
# **Total DFT energy (no corrections)**: -22.8909 eV/atom
data_TlGaH2Br
_symmetry_space_group_name_H-M 'P 4/m m m'
_symmetry_Int_Tables_number 123
_symmetry_space_group_name_Hall '-P 4 2'
_cell_length_a 4.198
_cell_length_b 4.198
_cell_length_c 5.570
_cell_angle_alpha 90.00
_cell_angle_beta 90.00
_cell_angle_gamma 90.00
loop_
_atom_site_label
_atom_site_type_symbol
_atom_site_fract_x
_atom_site_fract_y
_atom_site_fract_z
Tl1 Tl 0.000 0.000 0.000
Ga1 Ga 0.500 0.500 0.500
H1 H 0.000 0.500 0.500
Br1 Br 0.500 0.500 0.000

(3)
# Rb2HfGaBr, single point on PBEsol structure, DFT SCAN
# **E_form (uncorrected)**: 2.2 eV/f.u.
data_Rb2HfGaBr
_symmetry_space_group_name_H-M 'P 4/m m m'
_symmetry_Int_Tables_number 123
_symmetry_space_group_name_Hall '-P 4 2'
_cell_length_a 6.320
_cell_length_b 6.320
_cell_length_c 5.133
_cell_angle_alpha 90.00
_cell_angle_beta 90.00
_cell_angle_gamma 90.00
loop_
_atom_site_label
_atom_site_type_symbol
_atom_site_fract_x
_atom_site_fract_y
_atom_site_fract_z
Rb1 Rb 0.000 0.500 0.000
Hf1 Hf 0.000 0.000 0.500
Ga1 Ga 0.500 0.500 0.500
Br1 Br 0.000 0.000 0.000

(4)
# GaHg2Br, single point on PBEsol structure, DFT SCAN
# **E_form (uncorrected)**: -0.1 eV/f.u.
data_GaHg2Br
_symmetry_space_group_name_H-M 'F m -3 m'
_symmetry_Int_Tables_number 225
_symmetry_space_group_name_Hall '-F 4 2 3'
_cell_length_a 7.398
_cell_length_b 7.398
_cell_length_c 7.398
_cell_angle_alpha 90.00
_cell_angle_beta 90.00
_cell_angle_gamma 90.00
loop_
_atom_site_label
_atom_site_type_symbol
_atom_site_fract_x
_atom_site_fract_y
_atom_site_fract_z
Ga1 Ga 0.000 0.000 0.000
Hg1 Hg 0.250 0.250 0.250
Br1 Br 0.000 0.000 0.500

(5)
# GaI3Br, single point on PBEsol structure, DFT SCAN
# **E_form (uncorrected)**: 1.2 eV/f.u.
data_GaI3Br
_symmetry_space_group_name_H-M 'P m -3 m'
_symmetry_Int_Tables_number 221
_symmetry_space_group_name_Hall '-P 4 2 3'
_cell_length_a 5.839
_cell_length_b 5.839
_cell_length_c 5.839
_cell_angle_alpha 90.00
_cell_angle_beta 90.00
_cell_angle_gamma 90.00
loop_
_atom_site_label
_atom_site_type_symbol
_atom_site_fract_x
_atom_site_fract_y
_atom_site_fract_z
Ga1 Ga 0.000 0.000 0.000
I1 I 0.000 0.500 0.500
Br1 Br 0.500 0.500 0.500

(6)
# GaIBr, single point on PBEsol structure, DFT SCAN
# **E_form (uncorrected)**: -1.8 eV/f.u.
data_GaIBr
_symmetry_space_group_name_H-M 'P 1'
_symmetry_Int_Tables_number 1
_cell_length_a 5.228
_cell_length_b 6.557
_cell_length_c 6.811
_cell_angle_alpha 82.35
_cell_angle_beta 81.41
_cell_angle_gamma 81.19
loop_
_symmetry_equiv_pos_as_xyz
'x,y,z'
loop_
_atom_site_label
_atom_site_type_symbol
_atom_site_fract_x
_atom_site_fract_y
_atom_site_fract_z
Ga1 Ga 0.000 0.000 0.000
Ga2 Ga 0.324 0.150 0.134
I1 I 0.131 0.739 0.752
I2 I 0.663 0.850 0.298
Br1 Br 0.206 0.395 0.359
Br2 Br 0.665 0.276 0.868

(7)
# GaI2BrN, single point on PBEsol structure, DFT SCAN
# **E_form (uncorrected)**: 5.3 eV/f.u.
data_GaI2BrN
_symmetry_space_group_name_H-M 'P 4/m m m'
_symmetry_Int_Tables_number 123
_symmetry_space_group_name_Hall '-P 4 2'
_cell_length_a 6.325
_cell_length_b 6.325
_cell_length_c 3.680
_cell_angle_alpha 90.00
_cell_angle_beta 90.00
_cell_angle_gamma 90.00
loop_
_atom_site_label
_atom_site_type_symbol
_atom_site_fract_x
_atom_site_fract_y
_atom_site_fract_z
Ga1 Ga 0.000 0.000 0.000
I1 I 0.000 0.500 0.500
Br1 Br 0.500 0.500 0.500
N1 N 0.500 0.500 0.000

(8)
# GaNiIBr2, single point on PBEsol structure, DFT SCAN
# **E_form (uncorrected)**: -0.2 eV/f.u.
data_GaNiIBr2
_symmetry_space_group_name_H-M 'P 4/m m m'
_symmetry_Int_Tables_number 123
_symmetry_space_group_name_Hall '-P 4 2'
_cell_length_a 4.738
_cell_length_b 4.738
_cell_length_c 5.203
_cell_angle_alpha 90.00
_cell_angle_beta 90.00
_cell_angle_gamma 90.00
loop_
_atom_site_label
_atom_site_type_symbol
_atom_site_fract_x
_atom_site_fract_y
_atom_site_fract_z
Ga1 Ga 0.000 0.000 0.000
Ni1 Ni 0.000 0.000 0.500
I1 I 0.500 0.500 0.000
Br1 Br 0.000 0.500 0.500

Number 1: N(E_F) 0.4259 states/eV/atom, total magnetization 2.2 μB per cell. Number 2: N(E_F) 0.1905 states/eV/atom, total magnetization 0.0 μB per cell. Number 3: N(E_F) 1.0875 states/eV/atom, total magnetization 2.8 μB per cell. Number 4: N(E_F) 0.0208 states/eV/atom, total magnetization 0.0 μB per cell. Number 5: N(E_F) 0.6641 states/eV/atom, total magnetization 0.0 μB per cell. Number 6: N(E_F) 0.0000 states/eV/atom, total magnetization 0.0 μB per cell. Number 7: N(E_F) 0.6791 states/eV/atom, total magnetization 0.0 μB per cell. Number 8: N(E_F) 0.3475 states/eV/atom, total magnetization 1.7 μB per cell.